(1)
Here is a geometry-optimized YNpOs structure from Alexandria via LeMat-Bulk. Energies are from PBE.

abc: 5.785 6.824 7.520
angles: 107.73 90.00 90.00
Site moments in Bohr magnetons follow the coordinates.
Atoms (fractional coordinates):
Y  0.875  0.866  0.141  0.13
Y  0.625  0.866  0.641  0.13
Y  0.125  0.134  0.859  0.13
Y  0.375  0.134  0.359  0.13
Os  0.393  0.806  0.983  -0.32
Os  0.607  0.194  0.017  -0.32
Os  0.893  0.194  0.517  -0.32
Os  0.107  0.806  0.483  -0.32
Np  0.351  0.571  0.204  3.52
Np  0.649  0.429  0.796  3.52
Np  0.149  0.571  0.704  3.52
Np  0.851  0.429  0.296  3.52

Properties
Spin magnetization ... 14.95 μB/cell
E ... -10.1693 eV/atom
Energy of formation ... 0.0422 eV per atom
Density of states at the Fermi level ... 2.141 states/eV per atom

=====

(2)
Here is a geometry-optimized Ta3Nb3Os2 structure from Alexandria via LeMat-Bulk. Energies are from PBE.

abc: 4.572 4.573 7.312
angles: 108.21 108.22 90.00
Atoms (fractional coordinates):
Ta  0.371  0.871  0.743
Ta  0.500  0.500  0.000
Ta  0.629  0.129  0.257
Nb  0.873  0.373  0.746
Nb  0.127  0.627  0.254
Nb  0.000  0.000  0.000
Os  0.750  0.750  0.500
Os  0.250  0.250  0.500

Properties
Spin magnetization ... 0.00 μB/cell
E ... -11.2565 eV/atom
Energy of formation ... -0.2282 eV per atom
Density of states at the Fermi level ... 0.514 states/eV per atom

=====

(3)
Here is a geometry-optimized Ba2GaFeNi structure from Alexandria via LeMat-Bulk. Energies are from PBE.

abc: 6.108 5.065 6.108
angles: 90.00 90.00 90.00
Site moments in Bohr magnetons follow the coordinates.
Atoms (fractional coordinates):
Ni  0.000  0.000  0.000  -0.03
Ba  0.000  0.000  0.500  -0.01
Ba  0.500  0.000  0.000  -0.01
Ga  0.000  0.500  0.000  -0.01
Fe  0.500  0.500  0.500  3.15

Properties
Spin magnetization ... 3.23 μB/cell
E ... -3.7618 eV/atom
Energy of formation ... 0.4615 eV per atom
Density of states at the Fermi level ... 1.018 states/eV per atom

=====

energy of formation of number 1 (YNpOs)? 0.0422 eV per atom

=====

Copy entry 2 word for word.
Here is a geometry-optimized Ta3Nb3Os2 structure from Alexandria via LeMat-Bulk. Energies are from PBE.

abc: 4.572 4.573 7.312
angles: 108.21 108.22 90.00
Atoms (fractional coordinates):
Ta  0.371  0.871  0.743
Ta  0.500  0.500  0.000
Ta  0.629  0.129  0.257
Nb  0.873  0.373  0.746
Nb  0.127  0.627  0.254
Nb  0.000  0.000  0.000
Os  0.750  0.750  0.500
Os  0.250  0.250  0.500

Properties
Spin magnetization ... 0.00 μB/cell
E ... -11.2565 eV/atom
Energy of formation ... -0.2282 eV per atom
Density of states at the Fermi level ... 0.514 states/eV per atom

=====

Please write out number 2 again, unchanged.
Here is a geometry-optimized Ta3Nb3Os2 structure from Alexandria via LeMat-Bulk. Energies are from PBE.

abc: 4.572 4.573 7.312
angles: 108.21 108.22 90.00
Atoms (fractional coordinates):
Ta  0.371  0.871  0.743
Ta  0.500  0.500  0.000
Ta  0.629  0.129  0.257
Nb  0.873  0.373  0.746
Nb  0.127  0.627  0.254
Nb  0.000  0.000  0.000
Os  0.750  0.750  0.500
Os  0.250  0.250  0.500

Properties
Spin magnetization ... 0.00 μB/cell
E ... -11.2565 eV/atom
Energy of formation ... -0.2282 eV per atom
Density of states at the Fermi level ... 0.514 states/eV per atom

=====

Which value of E does entry 2 give? -11.2565 eV/atom